The following is a DFT calculation (GGA-PBEsol) of an optimized crystal structure of Sr2Hg.

Cell: 8.787 8.787 4.947 Å, 90.00 90.00 120.00°
Element x y z (fractional)
1 Sr 0.000 0.407 0.000
2 Sr 0.000 0.743 0.500
3 Sr 0.257 0.257 0.500
4 Sr 0.407 0.000 0.000
5 Sr 0.593 0.593 0.000
6 Sr 0.743 0.000 0.500
7 Hg 0.000 0.000 0.000
8 Hg 0.333 0.667 0.500
9 Hg 0.667 0.333 0.500

Formation energy (meV/atom): -382.5
Space-group type: No. 189
Total magnetic moment (μB/atom): 0.000

=====

The following is a DFT calculation (GGA-PBEsol) of an optimized crystal structure of Sr2PRh.

Cell: 4.723 4.723 4.029 Å, 90.00 90.00 90.00°
Element x y z (fractional)
1 Sr 0.000 0.500 0.000
2 Sr 0.500 0.000 0.000
3 P 0.000 0.000 0.500
4 Rh 0.500 0.500 0.500

Formation energy (meV/atom): -361.1
Space-group type: No. 123
Total magnetic moment (μB/atom): 0.000

=====

The following is a DFT calculation (GGA-PBEsol) of an optimized crystal structure of TlSi2As.

Cell: 4.637 4.637 3.602 Å, 90.00 90.00 90.00°
Element x y z (fractional)
1 Tl 0.000 0.000 0.000
2 Si 0.000 0.500 0.500
3 Si 0.500 0.000 0.500
4 As 0.500 0.500 0.000

ΔE_f (raw) (eV/atom): 0.58
Space-group type: No. 123
Total magnetic moment (μB/atom): 0.000

=====

The following is a DFT calculation (GGA-PBEsol) of an optimized crystal structure of SrSiHBr2.

Cell: 5.254 5.254 3.662 Å, 90.00 90.00 90.00°
Element x y z (fractional)
1 Sr 0.000 0.000 0.000
2 Si 0.500 0.500 0.000
3 H 0.500 0.500 0.500
4 Br 0.000 0.500 0.500
5 Br 0.500 0.000 0.500

Space-group type: No. 123
Total energy (eV/cell): -16.9
Total magnetic moment (μB/atom): 0.000

=====

The following is a DFT calculation (GGA-PBEsol) of an optimized crystal structure of ZnHg3.

Cell: 3.123 3.123 8.462 Å, 90.00 90.00 90.00°
Element x y z (fractional)
1 Zn 0.000 0.000 0.000
2 Hg 0.000 0.000 0.500
3 Hg 0.500 0.500 0.223
4 Hg 0.500 0.500 0.777

Formation energy (meV/atom): 70.4
Space-group type: No. 123
Total magnetic moment (μB/atom): 0.000

=====

The following is a DFT calculation (GGA-PBEsol) of an optimized crystal structure of Sr2NiIrO6.

Cell: 5.541 5.541 5.541 Å, 120.96 120.96 88.35°
Element x y z (fractional)
1 Sr 0.250 0.750 0.500
2 Sr 0.750 0.250 0.500
3 Ni 0.000 0.000 0.000
4 Ir 0.500 0.500 0.000
5 O 0.207 0.703 0.911
6 O 0.254 0.254 0.000
7 O 0.297 0.207 0.504
8 O 0.703 0.793 0.496
9 O 0.746 0.746 0.000
10 O 0.793 0.297 0.089

ΔE_f (raw) (eV/atom): -1.65
Space-group type: No. 87
Total magnetic moment (μB/atom): 0.454

=====

The following is a DFT calculation (GGA-PBEsol) of an optimized crystal structure of NbCdAu3.

Cell: 4.930 4.930 4.930 Å, 90.00 90.00 90.00°
Element x y z (fractional)
1 Nb 0.000 0.000 0.000
2 Cd 0.500 0.500 0.500
3 Au 0.000 0.500 0.500
4 Au 0.500 0.000 0.500
5 Au 0.500 0.500 0.000

Formation energy (meV/atom): 1241.9
Space-group type: No. 221
Total magnetic moment (μB/atom): 0.612

=====

The following is a DFT calculation (GGA-PBEsol) of an optimized crystal structure of CaGeSeN2.

Cell: 3.894 3.894 5.224 Å, 90.00 90.00 90.00°
Element x y z (fractional)
1 Ca 0.000 0.000 0.000
2 Ge 0.500 0.500 0.500
3 Se 0.500 0.500 0.000
4 N 0.000 0.500 0.500
5 N 0.500 0.000 0.500

ΔE_f (raw) (eV/atom): 0.21
Space-group type: No. 123
Total magnetic moment (μB/atom): 0.297

=====

The following is a DFT calculation (GGA-PBEsol) of an optimized crystal structure of SiTc2BI.

Cell: 4.610 4.610 3.701 Å, 90.00 90.00 90.00°
Element x y z (fractional)
1 Si 0.000 0.000 0.000
2 Tc 0.000 0.500 0.000
3 Tc 0.500 0.000 0.000
4 B 0.000 0.000 0.500
5 I 0.500 0.500 0.500

ΔE_f (raw) (eV/atom): 1.16
Space-group type: No. 123
Total magnetic moment (μB/atom): 0.000

=====

The following is a DFT calculation (GGA-PBEsol) of an optimized crystal structure of Mg2AsSe.

Cell: 3.848 3.848 5.517 Å, 90.00 90.00 90.00°
Element x y z (fractional)
1 Mg 0.000 0.000 0.000
2 Mg 0.500 0.500 0.500
3 As 0.000 0.000 0.500
4 Se 0.500 0.500 0.000

ΔE_f (raw) (eV/atom): -0.72
Space-group type: No. 123
Total magnetic moment (μB/atom): 0.000

=====

The following is a DFT calculation (GGA-PBEsol) of an optimized crystal structure of KBa3Zn.

Cell: 6.550 6.550 6.550 Å, 90.00 90.00 90.00°
Element x y z (fractional)
1 K 0.000 0.000 0.000
2 Ba 0.000 0.500 0.500
3 Ba 0.500 0.000 0.500
4 Ba 0.500 0.500 0.000
5 Zn 0.500 0.500 0.500

Formation energy (meV/atom): 43.2
Space-group type: No. 221
Total magnetic moment (μB/atom): 0.000

=====

The following is a DFT calculation (GGA-PBEsol) of an optimized crystal structure of LaSmNi2O6.

Cell: 7.495 7.495 7.498 Å, 90.00 90.00 90.00°
Element x y z (fractional)
1 La 0.000 0.000 0.000
2 La 0.000 0.500 0.000
3 La 0.500 0.000 0.000
4 La 0.500 0.500 0.500
5 Sm 0.000 0.000 0.500
6 Sm 0.000 0.500 0.500
7 Sm 0.500 0.000 0.500
8 Sm 0.500 0.500 0.000
9 Ni 0.250 0.250 0.251
10 Ni 0.250 0.250 0.749
11 Ni 0.250 0.750 0.251
12 Ni 0.250 0.750 0.749
13 Ni 0.750 0.250 0.251
14 Ni 0.750 0.250 0.749
15 Ni 0.750 0.750 0.251
16 Ni 0.750 0.750 0.749
17 O 0.000 0.250 0.257
18 O 0.000 0.250 0.743
19 O 0.000 0.750 0.257
20 O 0.000 0.750 0.743
21 O 0.248 0.248 0.500
22 O 0.248 0.752 0.500
23 O 0.250 0.000 0.257
24 O 0.250 0.000 0.743
25 O 0.250 0.500 0.251
26 O 0.250 0.500 0.749
27 O 0.253 0.253 0.000
28 O 0.253 0.747 0.000
29 O 0.500 0.250 0.251
30 O 0.500 0.250 0.749
31 O 0.500 0.750 0.251
32 O 0.500 0.750 0.749
33 O 0.747 0.253 0.000
34 O 0.747 0.747 0.000
35 O 0.750 0.000 0.257
36 O 0.750 0.000 0.743
37 O 0.750 0.500 0.251
38 O 0.750 0.500 0.749
39 O 0.752 0.248 0.500
40 O 0.752 0.752 0.500

ΔE_f (raw) (eV/atom): -2.17
Space-group type: No. 123
Total magnetic moment (μB/atom): 0.000

=====

The following is a DFT calculation (GGA-PBEsol) of an optimized crystal structure of Li4CaTl.

Cell: 5.560 5.560 5.560 Å, 60.00 60.00 60.00°
Element x y z (fractional)
1 Li 0.377 0.377 0.377
2 Li 0.377 0.377 0.869
3 Li 0.377 0.869 0.377
4 Li 0.869 0.377 0.377
5 Ca 0.000 0.000 0.000
6 Tl 0.750 0.750 0.750

Formation energy (meV/atom): -165.3
Space-group type: No. 216
Total magnetic moment (μB/atom): 0.001

=====

The following is a DFT calculation (GGA-PBEsol) of an optimized crystal structure of TaTe4I.

Cell: 6.636 7.718 8.662 Å, 113.01 102.14 101.59°
Element x y z (fractional)
1 Ta 0.249 0.001 0.499
2 Ta 0.751 0.999 0.501
3 Te 0.025 0.868 0.699
4 Te 0.126 0.337 0.679
5 Te 0.384 0.855 0.195
6 Te 0.453 0.735 0.566
7 Te 0.547 0.265 0.434
8 Te 0.616 0.145 0.805
9 Te 0.874 0.663 0.321
10 Te 0.975 0.132 0.301
11 I 0.245 0.391 0.067
12 I 0.755 0.609 0.933

ΔE_f (raw) (eV/atom): -0.27
Space-group type: No. 2
Total magnetic moment (μB/atom): 0.000

=====

The following is a DFT calculation (GGA-PBEsol) of an optimized crystal structure of ZrTlRe2.

Cell: 5.202 5.202 5.202 Å, 134.67 134.67 66.05°
Element x y z (fractional)
1 Zr 0.000 0.000 0.000
2 Tl 0.500 0.500 0.000
3 Re 0.250 0.750 0.500
4 Re 0.750 0.250 0.500

Formation energy (meV/atom): 524.0
Space-group type: No. 139
Total magnetic moment (μB/atom): 0.000

=====

The following is a DFT calculation (GGA-PBEsol) of an optimized crystal structure of YMn2Si.

Cell: 5.507 5.507 5.507 Å, 40.85 40.85 40.85°
Element x y z (fractional)
1 Y 0.000 0.000 0.000
2 Mn 0.201 0.201 0.201
3 Mn 0.510 0.510 0.510
4 Si 0.797 0.797 0.797

ΔE_f (raw) (eV/atom): -0.38
Space-group type: No. 160
Total magnetic moment (μB/atom): 0.002

=====

The following is a DFT calculation (GGA-PBEsol) of an optimized crystal structure of La2InAu.

Cell: 3.870 3.870 7.264 Å, 90.00 90.00 90.00°
Element x y z (fractional)
1 La 0.000 0.000 0.000
2 La 0.500 0.500 0.315
3 In 0.500 0.500 0.749
4 Au 0.000 0.000 0.522

Formation energy (meV/atom): -365.2
Space-group type: No. 99
Total magnetic moment (μB/atom): 0.000

=====

The following is a DFT calculation (GGA-PBEsol) of an optimized crystal structure of Pr2B5.

Cell: 8.402 8.402 7.308 Å, 107.18 107.18 51.30°
Element x y z (fractional)
1 Pr 0.057 0.180 0.223
2 Pr 0.180 0.057 0.723
3 Pr 0.311 0.451 0.401
4 Pr 0.451 0.311 0.901
5 Pr 0.549 0.689 0.099
6 Pr 0.689 0.549 0.599
7 Pr 0.820 0.943 0.277
8 Pr 0.943 0.820 0.777
9 B 0.041 0.461 0.829
10 B 0.090 0.590 0.060
11 B 0.092 0.409 0.592
12 B 0.172 0.328 0.040
13 B 0.203 0.712 0.148
14 B 0.288 0.797 0.352
15 B 0.328 0.172 0.540
16 B 0.409 0.092 0.092
17 B 0.410 0.910 0.440
18 B 0.461 0.041 0.329
19 B 0.539 0.959 0.671
20 B 0.590 0.090 0.560
21 B 0.591 0.908 0.908
22 B 0.672 0.828 0.460
23 B 0.712 0.203 0.648
24 B 0.797 0.288 0.852
25 B 0.828 0.672 0.960
26 B 0.908 0.591 0.408
27 B 0.910 0.410 0.940
28 B 0.959 0.539 0.171

Formation energy (meV/atom): -532.1
Space-group type: No. 15
Total magnetic moment (μB/atom): 0.000

=====

The following is a DFT calculation (GGA-PBEsol) of an optimized crystal structure of Sr2NbGaO6.

Cell: 5.594 5.594 5.594 Å, 120.40 120.40 89.31°
Element x y z (fractional)
1 Sr 0.250 0.750 0.500
2 Sr 0.750 0.250 0.500
3 Nb 0.000 0.000 0.000
4 Ga 0.500 0.500 0.000
5 O 0.215 0.288 0.502
6 O 0.251 0.251 0.000
7 O 0.288 0.785 0.073
8 O 0.712 0.215 0.927
9 O 0.749 0.749 0.000
10 O 0.785 0.712 0.498

ΔE_f (raw) (eV/atom): -2.70
Space-group type: No. 87
Total magnetic moment (μB/atom): 0.000

=====

The following is a DFT calculation (GGA-PBEsol) of an optimized crystal structure of MgSe2I.

Cell: 5.053 5.053 5.053 Å, 60.00 60.00 60.00°
Element x y z (fractional)
1 Mg 0.000 0.000 0.000
2 Se 0.250 0.250 0.250
3 Se 0.750 0.750 0.750
4 I 0.500 0.500 0.500

ΔE_f (raw) (eV/atom): 0.10
Space-group type: No. 225
Total magnetic moment (μB/atom): 0.000